The following is a DFT calculation (PBE) of a relaxed Rb2HoGaBr6 crystal.

Theoretical density (Mg/m³): 3.91
Crystal system: monoclinic
Uncorrected formation energy (kJ/mol of formula units): -1537

```
data_Rb2HoGaBr6
_chemical_formula_sum 'Rb4 Ho2 Ga2 Br12'
_cell_length_a 7.933
_cell_length_b 8.318
_cell_length_c 13.852
_cell_angle_alpha 90.00
_cell_angle_beta 124.60
_cell_angle_gamma 90.00
_space_group_name_H-M_alt 'P 1 21/c 1'
_space_group_IT_number 14
_space_group_name_Hall '-P 2ybc'
loop_
_atom_site_label
_atom_site_type_symbol
_atom_site_fract_x
_atom_site_fract_y
_atom_site_fract_z
_atom_site_occupancy
Rb1 Rb 0.227 0.070 0.250 1
Ho1 Ho 0.500 0.000 0.000 1
Ga1 Ga 0.000 0.000 0.500 1
Br1 Br 0.168 0.187 0.954 1
Br2 Br 0.269 0.718 0.952 1
Br3 Br 0.356 0.022 0.763 1
```